Entry from the Alexandria database: crystalline Ga2SbPt9 at its relaxed geometry (PBE-GGA).

The structure in POSCAR format:
```
Ga2SbPt9
1.0
3.9908 0.0000 0.0000
0.0000 3.9908 0.0000
0.0000 0.0000 11.9760
Pt Ga Sb
9 2 1
Direct
0.0000 0.5000 0.1747
0.5000 0.0000 0.5000
0.5000 0.0000 0.8253
0.0000 0.5000 0.5000
0.5000 0.5000 0.6636
0.5000 0.0000 0.1747
0.5000 0.5000 0.0000
0.0000 0.5000 0.8253
0.5000 0.5000 0.3364
0.0000 0.0000 0.3423
0.0000 0.0000 0.6577
0.0000 0.0000 0.0000
```

Its raw formation energy is -0.384 eV per atom. The symmetry is No. 123.



Entry from the Alexandria database: crystalline Ga2SbPt2 at its relaxed geometry (PBE-GGA).

The structure in POSCAR format:
```
Ga2SbPt2
1.0
3.8602 0.0000 0.0000
0.0000 3.8602 0.0000
1.9301 1.9301 6.1737
Ga Pt Sb
2 2 1
Direct
0.7500 0.2500 0.5000
0.2500 0.7500 0.5000
0.3861 0.3861 0.2278
0.6139 0.6139 0.7722
0.0000 0.0000 0.0000
```

Its raw formation energy is -0.435 eV per atom. The symmetry is No. 139.



Entry from the Alexandria database: crystalline GaSbPt3 at its relaxed geometry (PBE-GGA).

The structure in POSCAR format:
```
GaSbPt3
1.0
-3.4747 -3.1185 0.3637
2.8911 -2.9666 2.1842
-1.2241 1.8452 4.1264
Pt Ga Sb
3 1 1
Direct
0.0000 0.0000 0.5000
0.5000 0.0000 0.0000
0.0000 0.5000 0.0000
0.0000 0.0000 0.0000
0.5000 0.5000 0.5000
```

Its raw formation energy is 0.298 eV per atom. The symmetry is No. 221.



Entry from the Alexandria database: crystalline ScGaSb2Pt at its relaxed geometry (PBE-GGA).

The structure in POSCAR format:
```
ScGaSb2Pt
1.0
-0.3832 -0.2083 5.2384
1.2533 -4.9454 -0.1050
5.0811 1.2787 0.4225
Sb Ga Pt Sc
2 1 1 1
Direct
0.0000 0.0000 0.5000
0.5000 0.0000 0.0000
0.5000 0.5000 0.5000
0.0000 0.0000 0.0000
0.0000 0.5000 0.0000
```

Its raw formation energy is 0.087 eV per atom. The symmetry is No. 123.



Entry from the Alexandria database: crystalline Sm2GaSbPt6 at its relaxed geometry (PBE-GGA).

The structure in POSCAR format:
```
Sm2GaSbPt6
1.0
-5.3703 3.8177 -0.4580
-1.4953 -5.9144 -2.6035
-3.9579 -4.8382 2.2036
Sm Ga Pt Sb
2 1 6 1
Direct
0.2542 0.7541 0.4991
0.7458 0.2459 0.5009
0.5000 0.5000 0.0000
0.6805 0.6867 0.5108
0.3193 0.8088 0.9932
0.6807 0.1912 0.0068
0.9208 0.7414 0.8214
0.0792 0.2586 0.1786
0.3195 0.3133 0.4892
0.0000 0.0000 0.0000
```

Its raw formation energy is -0.779 eV per atom. The symmetry is No. 2.



Entry from the Alexandria database: crystalline Sr2GaSbPt6 at its relaxed geometry (PBE-GGA).

The structure in POSCAR format:
```
Sr2GaSbPt6
1.0
5.6173 0.0363 -0.0041
-0.0568 8.7129 -0.0780
2.7834 4.3232 4.5680
Pt Ga Sr Sb
6 1 2 1
Direct
0.7740 0.7704 0.9633
0.7372 0.2296 0.0367
0.2458 0.1056 0.5085
0.7542 0.8944 0.4915
0.2628 0.7704 0.9633
0.2260 0.2296 0.0367
0.0000 0.0000 0.0000
0.7435 0.2872 0.5131
0.2566 0.7128 0.4869
0.5000 0.5000 0.0000
```

Its raw formation energy is -0.668 eV per atom. The symmetry is No. 12.



Entry from the Alexandria database: crystalline Sr2Ga3SbPt4 at its relaxed geometry (PBE-GGA).

The structure in POSCAR format:
```
Sr2Ga3SbPt4
1.0
4.5500 0.0000 0.0000
0.0000 4.5500 0.0000
0.0000 0.0000 10.2325
Pt Ga Sr Sb
4 3 2 1
Direct
0.0000 0.0000 0.0000
0.5000 0.5000 0.0000
0.5000 0.0000 0.6354
0.0000 0.5000 0.3646
0.5000 0.0000 0.8823
0.0000 0.0000 0.5000
0.0000 0.5000 0.1177
0.0000 0.5000 0.7594
0.5000 0.0000 0.2406
0.5000 0.5000 0.5000
```

Its raw formation energy is -0.843 eV per atom. The symmetry is No. 115.



Entry from the Alexandria database: crystalline Tb2Ga3SbPt4 at its relaxed geometry (PBE-GGA).

The structure in POSCAR format:
```
Tb2Ga3SbPt4
1.0
-1.1181 -0.9069 -3.8876
3.9915 -0.3195 -1.0734
-0.1772 -11.0214 2.6219
Tb Pt Ga Sb
2 4 3 1
Direct
0.5000 0.0000 0.2374
0.0000 0.5000 0.7626
0.0000 0.0000 0.0000
0.5000 0.0000 0.6539
0.5000 0.5000 0.0000
0.0000 0.5000 0.3461
0.5000 0.0000 0.8696
0.0000 0.5000 0.1304
0.0000 0.0000 0.5000
0.5000 0.5000 0.5000
```

Its raw formation energy is -0.907 eV per atom. The symmetry is No. 115.



Entry from the Alexandria database: crystalline GaSb2TePt at its relaxed geometry (PBE-GGA).

The structure in POSCAR format:
```
GaSb2TePt
1.0
5.1713 0.0000 0.0000
0.0000 5.1713 0.0000
0.0000 0.0000 5.2050
Sb Ga Pt Te
2 1 1 1
Direct
0.5000 0.0000 0.0000
0.0000 0.5000 0.0000
0.0000 0.0000 0.0000
0.5000 0.5000 0.5000
0.0000 0.0000 0.5000
```

Its raw formation energy is 0.904 eV per atom. The symmetry is No. 123.



Entry from the Alexandria database: crystalline GaSb2TePt at its relaxed geometry (PBE-GGA).

The structure in POSCAR format:
```
GaSb2TePt
1.0
-3.2278 4.0764 0.4347
-1.9938 -2.0445 4.3668
3.9067 2.7652 3.0784
Ga Te Sb Pt
1 1 2 1
Direct
0.5000 0.5000 0.5000
0.0000 0.0000 0.5000
0.5000 0.0000 0.0000
0.0000 0.5000 0.0000
0.0000 0.0000 0.0000
```

Its raw formation energy is 0.329 eV per atom. The symmetry is No. 123.



Entry from the Alexandria database: crystalline Th2Ga3SbPt4 at its relaxed geometry (PBE-GGA).

The structure in POSCAR format:
```
Th2Ga3SbPt4
1.0
4.3941 0.0000 0.0000
0.0000 4.3941 0.0000
0.0000 0.0000 10.4842
Pt Th Ga Sb
4 2 3 1
Direct
0.0000 0.5000 0.3605
0.0000 0.0000 0.0000
0.5000 0.5000 0.0000
0.5000 0.0000 0.6395
0.5000 0.0000 0.2310
0.0000 0.5000 0.7690
0.5000 0.0000 0.8739
0.0000 0.5000 0.1261
0.0000 0.0000 0.5000
0.5000 0.5000 0.5000
```

Its raw formation energy is -0.903 eV per atom. The symmetry is No. 115.



Entry from the Alexandria database: crystalline TlGa2SbPt at its relaxed geometry (PBE-GGA).

The structure in POSCAR format:
```
TlGa2SbPt
1.0
4.8317 0.0000 0.0000
0.0000 5.6228 0.0000
0.0000 0.0000 4.8317
Ga Tl Pt Sb
2 1 1 1
Direct
0.5000 0.0000 0.0000
0.0000 0.0000 0.5000
0.5000 0.5000 0.5000
0.0000 0.0000 0.0000
0.0000 0.5000 0.0000
```

Its raw formation energy is -0.103 eV per atom. The symmetry is No. 123.



Entry from the Alexandria database: crystalline ScGa2Pt6 at its relaxed geometry (PBE-GGA).

The structure in POSCAR format:
```
ScGa2Pt6
1.0
3.6476 0.0000 0.0000
0.0000 6.1249 -2.8404
0.0000 0.0095 6.7515
Sc Pt Ga
1 6 2
Direct
0.5000 0.1216 0.1216
0.5000 0.9689 0.5892
0.0000 0.2500 0.8936
0.0000 0.8308 0.8308
0.5000 0.5892 0.9689
0.5000 0.5333 0.5333
0.0000 0.8936 0.2500
0.0000 0.2744 0.5381
0.0000 0.5381 0.2744
```

Its formation energy is -0.558 eV per atom. The symmetry is No. 38.



Entry from the Alexandria database: crystalline Sc7Ga2Pt2 at its relaxed geometry (PBE-GGA).

The structure in POSCAR format:
```
Sc7Ga2Pt2
1.0
6.2588 -0.0027 -0.7572
0.0031 6.5961 0.0027
-1.1457 -0.0020 6.1994
Pt Sc Ga
2 7 2
Direct
0.2871 0.0000 0.7129
0.7129 0.0000 0.2871
0.0000 0.7338 0.5001
0.5001 0.2662 0.0000
0.5000 0.2574 0.5000
0.5000 0.7426 0.5000
0.0000 0.0000 0.0000
0.0000 0.2662 0.4999
0.4999 0.7338 0.0000
0.1735 0.5000 0.1735
0.8265 0.5000 0.8265
```

Its formation energy is -0.524 eV per atom. The symmetry is No. 65.



Entry from the Alexandria database: crystalline ScGa3Pt3 at its relaxed geometry (PBE-GGA).

The structure in POSCAR format:
```
ScGa3Pt3
1.0
-5.8445 0.8861 3.3838
-0.2220 -1.0004 6.7338
-0.6475 5.6366 4.2610
Sc Pt Ga
2 6 6
Direct
0.3397 0.3397 0.9808
0.6603 0.6603 0.0192
0.3107 0.0777 0.8007
0.6893 0.9223 0.1993
0.1891 0.6893 0.1993
0.8109 0.3107 0.8007
0.9223 0.1891 0.1993
0.0777 0.8109 0.8007
0.7319 0.0952 0.6377
0.0952 0.5353 0.6377
0.9048 0.4647 0.3623
0.4647 0.2681 0.3623
0.2681 0.9048 0.3623
0.5353 0.7319 0.6377
```

Its formation energy is -0.825 eV per atom. The symmetry is No. 148.



Entry from the Alexandria database: crystalline ScGa2Pt2 at its relaxed geometry (PBE-GGA).

The structure in POSCAR format:
```
ScGa2Pt2
1.0
7.4117 0.0000 0.0000
0.0000 7.4117 0.0000
0.0000 0.0000 3.0661
Pt Sc Ga
4 2 4
Direct
0.1411 0.3589 0.0000
0.8589 0.6411 0.0000
0.3589 0.8589 0.0000
0.6411 0.1411 0.0000
0.0000 0.0000 0.0000
0.5000 0.5000 0.0000
0.3443 0.1557 0.5000
0.6557 0.8443 0.5000
0.1557 0.6557 0.5000
0.8443 0.3443 0.5000
```

Its formation energy is -0.680 eV per atom. The symmetry is No. 127.



Entry from the Alexandria database: crystalline ScGa3Pt at its relaxed geometry (PBE-GGA).

The structure in POSCAR format:
```
ScGa3Pt
1.0
4.1226 0.0000 0.0000
0.0000 7.3565 0.0000
0.0000 -3.6783 3.2124
Sc Ga Pt
1 3 1
Direct
0.5000 0.8952 0.7904
0.0000 0.0498 0.4679
0.5000 0.3750 0.7500
0.0000 0.4182 0.4679
0.0000 0.6165 0.2329
```

Its formation energy is -0.444 eV per atom. The symmetry is No. 38.



Entry from the Alexandria database: crystalline Sc3Ga3Pt at its relaxed geometry (PBE-GGA).

The structure in POSCAR format:
```
Sc3Ga3Pt
1.0
4.1557 0.0000 -0.9066
-0.1680 3.3150 -0.7701
-0.0910 0.4651 9.5606
Ga Sc Pt
3 3 1
Direct
0.8510 0.3510 0.7020
0.1490 0.6490 0.2979
0.5679 0.5679 0.1358
0.9924 0.9924 0.9849
0.6971 0.1971 0.3941
0.3104 0.8104 0.6208
0.4322 0.4322 0.8644
```

Its formation energy is -0.760 eV per atom. The symmetry is No. 44.



Entry from the Alexandria database: crystalline ScGa2Pt at its relaxed geometry (PBE-GGA).

The structure in POSCAR format:
```
ScGa2Pt
1.0
-1.3984 -2.7839 4.3160
3.5285 -5.1884 -2.2034
12.7386 5.4244 7.6262
Ga Sc Pt
16 8 8
Direct
0.2795 0.0467 0.9704
0.4672 0.9524 0.2843
0.7795 0.9533 0.5296
0.0328 0.9524 0.7843
0.5328 0.0476 0.7157
0.2795 0.4533 0.9704
0.9672 0.4524 0.2157
0.7205 0.5467 0.0296
0.7205 0.9533 0.0296
0.7795 0.5467 0.5296
0.5328 0.4524 0.7157
0.0328 0.5476 0.7843
0.9672 0.0476 0.2157
0.4672 0.5476 0.2843
0.2205 0.0467 0.4704
0.2205 0.4533 0.4704
0.0199 0.2500 0.6465
0.9801 0.7500 0.3535
0.2128 0.7500 0.1037
0.7872 0.2500 0.8963
0.2872 0.7500 0.6037
0.7128 0.2500 0.3963
0.4801 0.2500 0.1465
0.5199 0.7500 0.8535
0.9989 0.2500 0.0752
0.6991 0.7500 0.1693
0.0011 0.7500 0.9248
0.8009 0.7500 0.6693
0.1991 0.2500 0.3307
0.4989 0.7500 0.4248
0.5011 0.2500 0.5752
0.3009 0.2500 0.8307
```

Its formation energy is -0.829 eV per atom. The symmetry is No. 62.



Entry from the Alexandria database: crystalline Sc3Ga2Pt at its relaxed geometry (PBE-GGA).

The structure in POSCAR format:
```
Sc3Ga2Pt
1.0
-1.1907 2.2825 -2.1667
-1.7570 -2.4041 -1.5671
-7.6609 1.6925 5.9928
Ga Pt Sc
2 1 3
Direct
0.5000 0.5000 0.8310
0.5000 0.5000 0.1690
0.5000 0.5000 0.5000
0.0000 0.0000 0.0000
0.0000 0.0000 0.3399
0.0000 0.0000 0.6601
```

Its formation energy is -0.822 eV per atom. The symmetry is No. 123.



| no. | energy (eV for the cell shown) |
| --- | --- |
| 1 | -69.2 |
| 2 | -24.4 |
| 3 | -23.8 |
| 4 | -23.2 |
| 5 | -60.6 |
| 6 | -53.4 |
| 7 | -49.2 |
| 8 | -55.7 |
| 9 | -15.9 |
| 10 | -18.8 |
| 11 | -61.2 |
| 12 | -19.1 |
| 13 | -53.7 |
| 14 | -68.2 |
| 15 | -78.6 |
| 16 | -55.7 |
| 17 | -23.7 |
| 18 | -39.4 |
| 19 | -173.9 |
| 20 | -36.0 |